A geometry-optimized CeNd2Br structure, computed with PBE.

```
4
Lattice="-2.7621 2.1023 -1.3318 -3.4489 -0.4019 1.3290 -0.1006 7.7737 7.2905" Properties=species:S:1:pos:R:3 pbc="T T T"
Nd -1.6187 2.2192 1.6709
Nd -4.6929 7.2549 5.6169
Br 0.0000 0.0000 0.0000
Ce -3.1558 4.7371 3.6439
```

Values from the calculation:
- E_form (uncorrected) (eV/atom) = -0.515
- SG = R-3m
- magnetization (μB per atom) = 0.24
- total energy (eV/atom) = -4.800